## PdO (PBE)

Data for an optimized crystal structure of PdO.

Summary:
Density of states at the Fermi level = 1.0 states/eV/f.u.
Spin magnetization = 0.000 μB/atom
Energy relative to the elements, uncorrected = -0.032 eV/atom

```
PdO
1.0
3.043 0.000 0.340
0.000 4.117 0.000
-0.476 0.000 4.090
O Pd
2 2
Direct
0.000 0.750 0.250 O
0.000 0.250 0.750 O
0.860 0.250 0.249 Pd
0.140 0.750 0.751 Pd
```

---

## PdO (PBE)

Data for an optimized crystal structure of PdO.

Summary:
Density of states at the Fermi level = 1.8 states/eV/f.u.
Spin magnetization = 0.000 μB/atom
Energy relative to the elements, uncorrected = 0.208 eV/atom

```
PdO
1.0
-3.766 1.780 5.035
4.904 -1.286 4.123
2.114 6.154 -0.594
Pd O
8 8
Direct
0.814 0.814 0.814 Pd
0.686 0.686 0.314 Pd
0.186 0.186 0.814 Pd
0.314 0.686 0.686 Pd
0.814 0.186 0.186 Pd
0.314 0.314 0.314 Pd
0.686 0.314 0.686 Pd
0.186 0.814 0.186 Pd
0.858 0.858 0.142 O
0.858 0.142 0.858 O
0.142 0.858 0.858 O
0.642 0.358 0.358 O
0.358 0.642 0.358 O
0.358 0.358 0.642 O
0.642 0.642 0.642 O
0.142 0.142 0.142 O
```

---

## PdO (PBE)

Data for an optimized crystal structure of PdO.

Summary:
Density of states at the Fermi level = 1.4 states/eV/f.u.
Spin magnetization = 0.000 μB/atom
Energy relative to the elements, uncorrected = -0.069 eV/atom

```
PdO
1.0
6.807 0.000 0.000
0.000 4.651 0.000
0.000 0.000 5.552
O Pd
6 6
Direct
0.785 0.692 0.000 O
0.000 0.844 0.500 O
0.285 0.308 0.500 O
0.715 0.308 0.500 O
0.215 0.692 0.000 O
0.500 0.156 0.000 O
0.250 0.000 0.750 Pd
0.000 0.393 0.500 Pd
0.750 0.000 0.250 Pd
0.750 0.000 0.750 Pd
0.250 0.000 0.250 Pd
0.500 0.607 0.000 Pd
```